Record 1
YIr2Au (PBE-GGA, optimized geometry); energy of formation from the pure elements = -2.614 kcal/mol of atoms; relative energy among the computed polymorphs = 264.3 meV per atom; SG = No. 10
1.0
4.685 0.000 0.000
0.000 3.228 -0.105
0.000 0.515 5.063
Ir Y Au
2 1 1
Direct
0.000 0.843 0.006
0.000 0.657 0.494
0.500 0.250 0.250
0.500 0.750 0.750

Record 2
Mg3SnPd3 (PBE-GGA, optimized geometry); energy of formation from the pure elements = -14.051 kcal/mol of atoms; relative energy among the computed polymorphs = 0.0 meV per atom; SG = No. 65
1.0
-4.067 2.577 4.367
-0.204 -5.701 3.116
4.779 1.710 3.441
Pd Mg Sn
6 6 2
Direct
0.500 0.000 0.746
0.000 0.500 0.254
0.000 0.000 0.761
0.500 0.000 0.254
0.000 0.500 0.746
0.000 0.000 0.239
0.250 0.250 0.500
0.243 0.757 0.500
0.750 0.750 0.500
0.743 0.257 0.000
0.757 0.243 0.500
0.257 0.743 0.000
0.268 0.268 0.000
0.732 0.732 0.000

Record 3
NaIn4Ga2 (PBE-GGA, optimized geometry); energy of formation from the pure elements = -0.452 kcal/mol of atoms; SG = No. 65
1.0
-4.380 -0.777 -1.009
1.228 -4.159 -2.127
-1.572 -1.892 8.276
Ga In Na
2 4 1
Direct
0.500 0.424 0.848
0.500 0.576 0.152
0.500 0.829 0.658
0.500 0.171 0.342
0.000 0.316 0.632
0.000 0.684 0.368
0.000 0.000 0.000

Record 4
Sc6Zn5Co (PBE-GGA, optimized geometry); energy of formation from the pure elements = -8.569 kcal/mol of atoms; SG = No. 10
1.0
4.430 -0.026 1.486
0.036 6.679 0.012
0.023 -0.013 7.365
Zn Sc Co
5 6 1
Direct
0.669 0.500 0.662
0.671 0.000 0.657
0.000 0.500 0.000
0.331 0.500 0.338
0.329 0.000 0.343
0.160 0.758 0.680
0.840 0.758 0.320
0.840 0.242 0.320
0.500 0.763 0.000
0.160 0.242 0.680
0.500 0.237 0.000
0.000 0.000 0.000

Record 5
RbAlPCl2 (PBE-GGA, optimized geometry); formation energy (no corrections) = 1.507 eV per formula unit; relative energy among the computed polymorphs = 1091.4 meV per atom; SG = No. 123
1.0
-2.396 3.765 4.235
-5.632 -1.071 -2.234
-0.636 -4.792 3.901
Al Cl P Rb
1 2 1 1
Direct
0.500 0.500 0.500
0.000 0.500 0.000
0.500 0.000 0.000
0.000 0.000 0.500
0.000 0.000 0.000

Record 6
PrDyTlIn (PBE-GGA, optimized geometry); energy of formation from the pure elements = -9.663 kcal/mol of atoms; SG = No. 216
1.0
5.446 0.000 0.000
2.723 4.716 0.000
2.723 1.572 4.446
Pr Tl In Dy
1 1 1 1
Direct
0.750 0.750 0.750
0.000 0.000 0.000
0.500 0.500 0.500
0.250 0.250 0.250

Question: Which formula does entry 5 have?
Answer: RbAlPCl2